The following is a GGA-PBE calculation of a relaxed Gd2DyIn3PdAu2 crystal, from OQMD.

Values from the calculation:
The total DFT energy (no corrections) is -4.554 eV per atom. Its space group is Amm2, No. 38. The theoretical density is 10.61 Mg/m³.

Structure (extended XYZ):
```
9
Lattice="3.953 0.000 0.000 0.000 6.735 3.886 0.000 -6.735 3.886" Properties=species:S:1:pos:R:3 pbc="T T T"
Au 1.977 -2.230 3.889
Au 1.977 2.230 3.889
Pd 0.000 0.000 7.764
In 1.977 -1.710 6.783
In 1.977 0.000 1.970
In 1.977 1.710 6.783
Gd 0.000 2.740 1.581
Gd 0.000 -2.740 1.581
Dy 0.000 0.000 4.615
```